Density functional theory data (PBE) for crystalline NiPd4Au2 at its relaxed geometry.

Properties
volume	110.7	Å³ per cell
E_tot	-33.14	eV per cell
size of the total moment	1.71	Bohr magnetons per cell
space group	No. 65
energy of formation from the pure elements	-0.01	eV/atom
energy above the most stable polymorph in this dataset	0	meV/atom

The structure in CIF format:
```
data_NiPd4Au2
_chemical_formula_sum 'Ni1 Pd4 Au2'
_cell_length_a 2.8070
_cell_length_b 2.7958
_cell_length_c 14.1815
_cell_angle_alpha 90.00
_cell_angle_beta 95.68
_cell_angle_gamma 90.00
_space_group_name_H-M_alt 'P 1'
_space_group_IT_number 1
loop_
_space_group_symop_operation_xyz
'x,y,z'
loop_
_atom_site_label
_atom_site_type_symbol
_atom_site_fract_x
_atom_site_fract_y
_atom_site_fract_z
Ni1 Ni 0.5000 0.0000 0.0000
Pd1 Pd 0.9400 0.5000 0.8799
Pd2 Pd 0.6312 0.0000 0.2624
Pd3 Pd 0.0600 0.5000 0.1201
Pd4 Pd 0.3688 0.0000 0.7376
Au1 Au 0.7943 0.5000 0.5886
Au2 Au 0.2057 0.5000 0.4114
```